Entry 1:
# ScTl2CoGe

A crystal of ScTl2CoGe relaxed with PBEsol (SCAN, the Alexandria database). Values from VASP.

```
&SYSTEM
  ibrav = 0, nat = 5, ntyp = 4
/
ATOMIC_SPECIES
Sc 44.96 Sc.upf
Tl 204.38 Tl.upf
Co 58.93 Co.upf
Ge 72.64 Ge.upf
CELL_PARAMETERS angstrom
5.1564 0.0000 0.0000
0.0000 5.1564 0.0000
0.0000 0.0000 5.0621
ATOMIC_POSITIONS crystal
Sc 0.0000 0.0000 0.0000
Tl 0.0000 0.5000 0.5000
Tl 0.5000 0.0000 0.5000
Co 0.5000 0.5000 0.0000
Ge 0.0000 0.0000 0.5000
```

The total magnetization comes out at 2.5 μB per formula unit. The calculation puts the calculated formation energy at 0.825 eV/atom. As for the space group: P4/mmm (123). As for the electronic total energy: -38.245 eV per atom.

Entry 2:
# Ba2NiHgOs

A crystal of Ba2NiHgOs relaxed with PBEsol (SCAN, the Alexandria database). Values from VASP.

```
&SYSTEM
  ibrav = 0, nat = 5, ntyp = 4
/
ATOMIC_SPECIES
Ba 137.33 Ba.upf
Ni 58.69 Ni.upf
Hg 200.59 Hg.upf
Os 190.23 Os.upf
CELL_PARAMETERS angstrom
6.1897 0.0000 0.0000
0.0000 6.1897 0.0000
0.0000 0.0000 4.9456
ATOMIC_POSITIONS crystal
Ba 0.0000 0.5000 0.0000
Ba 0.5000 0.0000 0.0000
Ni 0.0000 0.0000 0.5000
Hg 0.5000 0.5000 0.0000
Os 0.5000 0.5000 0.5000
```

The total magnetization comes out at 2.4 μB per formula unit. The calculation puts the calculated formation energy at 1.053 eV/atom. As for the space group: P4/mmm (123). As for the electronic total energy: -46.011 eV per atom.

Entry 3:
# Li2Si2Pt

A crystal of Li2Si2Pt relaxed with PBEsol (SCAN, the Alexandria database). Values from VASP.

```
&SYSTEM
  ibrav = 0, nat = 10, ntyp = 3
/
ATOMIC_SPECIES
Li 6.94 Li.upf
Si 28.09 Si.upf
Pt 195.08 Pt.upf
CELL_PARAMETERS angstrom
6.1312 0.0000 0.0000
0.0000 6.1312 0.0000
0.0000 0.0000 4.0055
ATOMIC_POSITIONS crystal
Li 0.1728 0.3272 0.0000
Li 0.3272 0.8272 0.0000
Li 0.6728 0.1728 0.0000
Li 0.8272 0.6728 0.0000
Si 0.1339 0.6339 0.5000
Si 0.3661 0.1339 0.5000
Si 0.6339 0.8661 0.5000
Si 0.8661 0.3661 0.5000
Pt 0.0000 0.0000 0.5000
Pt 0.5000 0.5000 0.5000
```

The total magnetization comes out at 0.0 μB per formula unit. As for the space group: P4/mbm (127). As for the electronic total energy: -19.597 eV per atom. Its uncorrected formation energy is -0.5965 eV per atom.

Entry 4:
# CrSn3Pb

A crystal of CrSn3Pb relaxed with PBEsol (SCAN, the Alexandria database). Values from VASP.

```
&SYSTEM
  ibrav = 0, nat = 5, ntyp = 3
/
ATOMIC_SPECIES
Cr 52.00 Cr.upf
Sn 118.71 Sn.upf
Pb 207.20 Pb.upf
CELL_PARAMETERS angstrom
5.6753 0.0000 0.0000
0.0000 5.6753 0.0000
0.0000 0.0000 5.6753
ATOMIC_POSITIONS crystal
Cr 0.0000 0.0000 0.0000
Sn 0.0000 0.5000 0.5000
Sn 0.5000 0.0000 0.5000
Sn 0.5000 0.5000 0.0000
Pb 0.5000 0.5000 0.5000
```

The total magnetization comes out at 4.9 μB per formula unit. The calculation puts the calculated formation energy at 1.105 eV/atom. As for the space group: Pm-3m (221). As for the electronic total energy: -39.281 eV per atom.

Entry 5:
# SrLi2TeCl

A crystal of SrLi2TeCl relaxed with PBEsol (SCAN, the Alexandria database). Values from VASP.

```
&SYSTEM
  ibrav = 0, nat = 5, ntyp = 4
/
ATOMIC_SPECIES
Sr 87.62 Sr.upf
Li 6.94 Li.upf
Te 127.60 Te.upf
Cl 35.45 Cl.upf
CELL_PARAMETERS angstrom
4.9722 0.0000 0.0000
0.0000 4.9722 0.0000
0.0000 0.0000 6.5018
ATOMIC_POSITIONS crystal
Sr 0.0000 0.0000 0.0000
Li 0.0000 0.5000 0.5000
Li 0.5000 0.0000 0.5000
Te 0.0000 0.0000 0.5000
Cl 0.5000 0.5000 0.0000
```

The total magnetization comes out at 0.6 μB per formula unit. As for the space group: P4/mmm (123). As for the electronic total energy: -15.523 eV per atom. Its uncorrected formation energy is -1.0667 eV per atom.

Entry 6:
# HfZnN2

A crystal of HfZnN2 relaxed with PBEsol (SCAN, the Alexandria database). Values from VASP.

```
&SYSTEM
  ibrav = 0, nat = 4, ntyp = 3
/
ATOMIC_SPECIES
Hf 178.49 Hf.upf
Zn 65.41 Zn.upf
N 14.01 N.upf
CELL_PARAMETERS angstrom
3.2281 0.0000 0.0000
-1.6140 2.7956 0.0000
0.0000 0.0000 5.2477
ATOMIC_POSITIONS crystal
Hf 0.0000 0.0000 0.0000
Zn 0.6667 0.3333 0.4474
N 0.3333 0.6667 0.2528
N 0.6667 0.3333 0.8139
```

The total magnetization comes out at 0.0 μB per formula unit. As for the space group: P3m1 (156). As for the electronic total energy: -24.900 eV per atom. Its uncorrected formation energy is -1.2077 eV per atom.

Entry 7:
# ZnBiIr3

A crystal of ZnBiIr3 relaxed with PBEsol (SCAN, the Alexandria database). Values from VASP.

```
&SYSTEM
  ibrav = 0, nat = 5, ntyp = 3
/
ATOMIC_SPECIES
Zn 65.41 Zn.upf
Bi 208.98 Bi.upf
Ir 192.22 Ir.upf
CELL_PARAMETERS angstrom
4.5439 0.0000 0.0000
0.0000 4.5439 0.0000
0.0000 0.0000 4.5439
ATOMIC_POSITIONS crystal
Zn 0.0000 0.0000 0.0000
Bi 0.5000 0.5000 0.5000
Ir 0.0000 0.0000 0.5000
Ir 0.0000 0.5000 0.0000
Ir 0.5000 0.0000 0.0000
```

The total magnetization comes out at 0.0 μB per formula unit. The calculation puts the calculated formation energy at 1.392 eV/atom. As for the space group: Pm-3m (221). As for the electronic total energy: -59.686 eV per atom.

Entry 8:
# RbHOF2

A crystal of RbHOF2 relaxed with PBEsol (SCAN, the Alexandria database). Values from VASP.

```
&SYSTEM
  ibrav = 0, nat = 5, ntyp = 4
/
ATOMIC_SPECIES
Rb 85.47 Rb.upf
H 1.01 H.upf
O 16.00 O.upf
F 19.00 F.upf
CELL_PARAMETERS angstrom
4.6332 0.0000 0.0000
0.0000 4.6332 0.0000
0.0000 0.0000 2.7739
ATOMIC_POSITIONS crystal
Rb 0.0000 0.0000 0.0000
H 0.5000 0.5000 0.5000
O 0.5000 0.5000 0.0000
F 0.0000 0.5000 0.5000
F 0.5000 0.0000 0.5000
```

The total magnetization comes out at 2.0 μB per formula unit. As for the space group: P4/mmm (123). As for the electronic total energy: -8.345 eV per atom.

Entry 9:
# Ti5PO11

A crystal of Ti5PO11 relaxed with PBEsol (SCAN, the Alexandria database). Values from VASP.

```
&SYSTEM
  ibrav = 0, nat = 68, ntyp = 3
/
ATOMIC_SPECIES
Ti 47.87 Ti.upf
P 30.97 P.upf
O 16.00 O.upf
CELL_PARAMETERS angstrom
7.5131 0.0000 0.0000
0.0000 13.7932 0.0000
-6.2680 0.0000 7.5597
ATOMIC_POSITIONS crystal
Ti 0.0092 0.1534 0.1535
Ti 0.0092 0.3466 0.6535
Ti 0.2388 0.1718 0.5379
Ti 0.2388 0.3282 0.0379
Ti 0.2742 0.6751 0.2020
Ti 0.2742 0.8249 0.7020
Ti 0.4472 0.0045 0.2152
Ti 0.4472 0.4955 0.7152
Ti 0.4572 0.1677 0.9084
Ti 0.4572 0.3323 0.4084
Ti 0.5428 0.6677 0.5916
Ti 0.5428 0.8323 0.0916
Ti 0.5528 0.5045 0.2848
Ti 0.5528 0.9955 0.7848
Ti 0.7258 0.1751 0.2980
Ti 0.7258 0.3249 0.7980
Ti 0.7612 0.6718 0.9621
Ti 0.7612 0.8282 0.4621
Ti 0.9908 0.6534 0.3465
Ti 0.9908 0.8466 0.8465
P 0.2514 0.6202 0.8704
P 0.2514 0.8798 0.3704
P 0.7486 0.1202 0.6296
P 0.7486 0.3798 0.1296
O 0.0092 0.7448 0.9955
O 0.0092 0.7552 0.4955
O 0.0252 0.6079 0.1762
O 0.0252 0.8921 0.6762
O 0.2025 0.0680 0.1803
O 0.2025 0.4320 0.6803
O 0.2401 0.2405 0.3658
O 0.2401 0.2595 0.8658
O 0.2730 0.5931 0.5366
O 0.2730 0.9069 0.0366
O 0.2808 0.7421 0.8868
O 0.2808 0.7579 0.3868
O 0.2888 0.0805 0.7111
O 0.2888 0.4195 0.2111
O 0.3202 0.5947 0.0635
O 0.3202 0.9053 0.5635
O 0.4810 0.2435 0.7432
O 0.4810 0.2565 0.2432
O 0.4830 0.0933 0.0868
O 0.4830 0.4067 0.5868
O 0.4837 0.5889 0.9036
O 0.4837 0.9111 0.4036
O 0.5163 0.0889 0.5964
O 0.5163 0.4111 0.0964
O 0.5170 0.5933 0.4132
O 0.5170 0.9067 0.9132
O 0.5190 0.7435 0.7568
O 0.5190 0.7565 0.2568
O 0.6798 0.0947 0.4365
O 0.6798 0.4053 0.9365
O 0.7112 0.5805 0.7889
O 0.7112 0.9195 0.2889
O 0.7192 0.2421 0.6132
O 0.7192 0.2579 0.1132
O 0.7270 0.0931 0.9634
O 0.7270 0.4069 0.4634
O 0.7599 0.7405 0.1342
O 0.7599 0.7595 0.6342
O 0.7975 0.5680 0.3197
O 0.7975 0.9320 0.8197
O 0.9748 0.1079 0.3238
O 0.9748 0.3921 0.8238
O 0.9908 0.2448 0.5045
O 0.9908 0.2552 0.0045
```

The total magnetization comes out at 0.9 μB per formula unit. As for the space group: P2_1/c (14). As for the electronic total energy: -12.411 eV per atom. Its uncorrected formation energy is -3.0527 eV per atom.

Entry 10:
# Ge3SbS

A crystal of Ge3SbS relaxed with PBEsol (SCAN, the Alexandria database). Values from VASP.

```
&SYSTEM
  ibrav = 0, nat = 5, ntyp = 3
/
ATOMIC_SPECIES
Ge 72.64 Ge.upf
Sb 121.76 Sb.upf
S 32.06 S.upf
CELL_PARAMETERS angstrom
4.8770 0.0000 0.0000
0.0000 4.8770 0.0000
0.0000 0.0000 4.8770
ATOMIC_POSITIONS crystal
Ge 0.0000 0.0000 0.5000
Ge 0.0000 0.5000 0.0000
Ge 0.5000 0.0000 0.0000
Sb 0.5000 0.5000 0.5000
S 0.0000 0.0000 0.0000
```

The total magnetization comes out at 0.0 μB per formula unit. As for the space group: Pm-3m (221). As for the electronic total energy: -20.269 eV per atom. Its uncorrected formation energy is 0.5611 eV per atom.